Compound: KZn
Source: OQMD
Functional: GGA-PBE
Structure: relaxed

Values from the calculation:
Its crystal system is monoclinic. The space group is P2_1/m. For the total energy, the calculation gives -1.175 eV per atom.

abc: 13.7897 7.4479 4.4203
angles: 90.00 90.00 95.88
Positions (direct):
Zn 0.1475 0.9662 0.5000
Zn 0.1492 0.7855 0.0000
Zn 0.1442 0.6040 0.5000
Zn 0.0728 0.2701 0.5000
Zn 0.0748 0.0898 0.0000
Zn 0.0780 0.4515 0.0000
K 0.8492 0.2420 0.0000
K 0.6434 0.7713 0.0000
K 0.3001 0.3093 0.0000
K 0.5788 0.2839 0.5000
K 0.3730 0.8134 0.5000
K 0.9222 0.7464 0.5000

Compound: KZn
Source: OQMD
Functional: GGA-PBE
Structure: relaxed

Values from the calculation:
Its crystal system is orthorhombic. The space group is Pmmn. For the total energy, the calculation gives -1.031 eV per atom.

abc: 6.4859 14.1265 5.8943
angles: 90.00 90.00 90.00
Positions (direct):
K 0.5734 0.3750 0.0000
K 0.3655 0.8750 0.0000
K 0.9679 0.3750 0.5000
K 0.0967 0.5543 0.0000
K 0.2366 0.6957 0.5000
K 0.2366 0.0543 0.5000
K 0.7599 0.8750 0.5000
K 0.0967 0.1957 0.0000
Zn 0.6099 0.1031 0.0000
Zn 0.4550 0.2808 0.5000
Zn 0.4550 0.4692 0.5000
Zn 0.6099 0.6469 0.0000
Zn 0.7235 0.1469 0.5000
Zn 0.8784 0.9692 0.0000
Zn 0.8784 0.7808 0.0000
Zn 0.7235 0.6031 0.5000

Compound: KZn2
Source: OQMD
Functional: GGA-PBE
Structure: relaxed

Values from the calculation:
Its crystal system is cubic. The space group is Fd-3m. For the total energy, the calculation gives -1.103 eV per atom.

abc: 5.8682 5.8682 5.8682
angles: 60.00 60.00 60.00
Positions (direct):
K 0.0000 0.0000 0.0000
K 0.2500 0.2500 0.2500
Zn 0.6250 0.6250 0.6250
Zn 0.6250 0.6250 0.1250
Zn 0.6250 0.1250 0.6250
Zn 0.1250 0.6250 0.6250

Compound: KZn
Source: OQMD
Functional: GGA-PBE
Structure: relaxed

Values from the calculation:
Its crystal system is monoclinic. The space group is P2_1/m. For the total energy, the calculation gives -1.105 eV per atom.

abc: 21.4632 8.8304 4.4932
angles: 90.00 90.00 90.05
Positions (direct):
K 0.3731 0.4308 0.5000
K 0.7941 0.9536 0.5000
K 0.5714 0.3192 0.0000
K 0.0083 0.0513 0.0000
K 0.4360 0.0512 0.5000
K 0.5085 0.6988 0.0000
K 0.2940 0.7959 0.5000
K 0.6505 0.9541 0.0000
K 0.9361 0.6987 0.5000
K 0.8731 0.3192 0.5000
K 0.0714 0.4308 0.0000
K 0.1504 0.7964 0.0000
Zn 0.2490 0.4447 0.0000
Zn 0.1319 0.1485 0.5000
Zn 0.7490 0.3063 0.0000
Zn 0.2567 0.1657 0.5000
Zn 0.1877 0.1662 0.0000
Zn 0.6320 0.6014 0.5000
Zn 0.6954 0.3053 0.5000
Zn 0.3124 0.1486 0.0000
Zn 0.6877 0.5843 0.0000
Zn 0.7567 0.5838 0.5000
Zn 0.1954 0.4437 0.5000
Zn 0.8125 0.6015 0.0000

Compound: KZn
Source: OQMD
Functional: GGA-PBE
Structure: relaxed

Values from the calculation:
Its crystal system is orthorhombic. The space group is Pmmn. For the total energy, the calculation gives -1.022 eV per atom.

abc: 12.7352 3.9539 5.4069
angles: 90.00 90.00 90.00
Positions (direct):
Zn 0.0931 0.0000 0.5000
Zn 0.8238 0.5000 0.0000
Zn 0.9470 0.0000 0.0000
Zn 0.9696 0.5000 0.5000
K 0.7612 0.0000 0.5000
K 0.1554 0.5000 0.0000
K 0.5651 0.0000 0.0000
K 0.3515 0.5000 0.5000

Compound: KZn
Source: OQMD
Functional: GGA-PBE
Structure: relaxed

Values from the calculation:
Its crystal system is cubic. The space group is F-43m. For the total energy, the calculation gives -0.677 eV per atom.

abc: 5.4320 5.4320 5.4320
angles: 60.00 60.00 60.00
Positions (direct):
Zn 0.2500 0.2500 0.2500
K 0.0000 0.0000 0.0000

Compound: KZn
Source: OQMD
Functional: GGA-PBE
Structure: relaxed

Values from the calculation:
Its crystal system is orthorhombic. The space group is Pmmn. For the total energy, the calculation gives -0.871 eV per atom.

abc: 6.0713 3.8377 5.7792
angles: 90.00 90.00 90.00
Positions (direct):
K 0.2964 0.0000 0.5000
K 0.5369 0.5000 0.0000
Zn 0.9947 0.0000 0.0000
Zn 0.8386 0.5000 0.5000

Compound: KZn2
Source: OQMD
Functional: GGA-PBE
Structure: relaxed

Values from the calculation:
Its crystal system is orthorhombic. The space group is Cmcm. For the total energy, the calculation gives -1.090 eV per atom.

abc: 15.2989 4.0786 4.7839
angles: 90.00 90.00 90.00
Positions (direct):
Zn 0.5662 0.0000 0.0000
Zn 0.8782 0.0000 0.5000
Zn 0.4682 0.5000 0.0000
Zn 0.0663 0.5000 0.0000
Zn 0.9761 0.5000 0.5000
Zn 0.4763 0.0000 0.5000
Zn 0.9684 0.0000 0.0000
Zn 0.3782 0.5000 0.5000
K 0.7969 0.5000 0.0000
K 0.2968 0.0000 0.0000
K 0.1475 0.0000 0.5000
K 0.6477 0.5000 0.5000

Compound: KZn5
Source: OQMD
Functional: GGA-PBE
Structure: relaxed

Values from the calculation:
Its crystal system is hexagonal. The space group is P-62m. For the total energy, the calculation gives -1.200 eV per atom.

abc: 5.4204 5.4204 4.3567
angles: 90.00 90.00 60.00
Positions (direct):
K 0.0000 0.0000 0.0000
Zn 0.5021 0.0000 0.5000
Zn 0.6667 0.6667 0.0000
Zn 0.0000 0.4979 0.5000
Zn 0.3333 0.3333 0.0000
Zn 0.4979 0.5021 0.5000

Compound: KZn13
Source: OQMD
Functional: GGA-PBE
Structure: relaxed

Values from the calculation:
Its crystal system is cubic. The space group is Fm-3c. For the total energy, the calculation gives -1.328 eV per atom.

abc: 8.6913 8.6913 8.6913
angles: 120.00 90.00 120.00
Positions (direct):
Zn 0.5606 0.7609 0.2003
Zn 0.7003 0.0000 0.0606
Zn 0.9394 0.6397 0.7003
Zn 0.0606 0.3603 0.2997
Zn 0.4394 0.6397 0.4394
Zn 0.2997 0.0000 0.9394
Zn 0.7997 0.2391 0.4394
Zn 0.0606 0.7609 0.0606
Zn 0.2003 0.6397 0.2003
Zn 0.7003 0.6397 0.9394
Zn 0.5000 0.0000 0.5000
Zn 0.0000 0.0000 0.0000
Zn 0.7003 0.7609 0.7003
Zn 0.9394 0.0000 0.2997
Zn 0.7997 0.3603 0.7997
Zn 0.2997 0.2391 0.2997
Zn 0.5606 0.3603 0.5606
Zn 0.2003 0.0000 0.4394
Zn 0.2997 0.3603 0.0606
Zn 0.7997 0.0000 0.5606
Zn 0.5606 0.0000 0.7997
Zn 0.4394 0.2391 0.7997
Zn 0.0606 0.0000 0.7003
Zn 0.2003 0.7609 0.5606
Zn 0.4394 0.0000 0.2003
Zn 0.9394 0.2391 0.9394
K 0.7500 0.5000 0.2500
K 0.2500 0.5000 0.7500

Compound: KZn
Source: OQMD
Functional: GGA-PBE
Structure: relaxed

Values from the calculation:
Its crystal system is orthorhombic. The space group is Pbcm. For the total energy, the calculation gives -1.057 eV per atom.

abc: 5.6279 9.2075 4.7343
angles: 90.00 90.00 90.00
Positions (direct):
Zn 0.5270 0.1636 0.0000
Zn 0.0270 0.0864 0.0000
Zn 0.8064 0.1636 0.5000
Zn 0.3064 0.0864 0.5000
K 0.9328 0.4313 0.0000
K 0.9006 0.8187 0.5000
K 0.4006 0.4313 0.5000
K 0.4328 0.8187 0.0000

Compound: KZn
Source: OQMD
Functional: GGA-PBE
Structure: relaxed

Values from the calculation:
Its crystal system is orthorhombic. The space group is Pmc2_1. For the total energy, the calculation gives -1.059 eV per atom.

abc: 6.6917 11.7581 4.9375
angles: 90.00 90.00 90.00
Positions (direct):
K 0.9819 0.9188 0.0000
K 0.9849 0.1931 0.5000
K 0.7509 0.4693 0.5000
K 0.4849 0.9736 0.5000
K 0.2509 0.6974 0.5000
K 0.4819 0.2479 0.0000
Zn 0.5960 0.7384 0.0000
Zn 0.4216 0.5377 0.0000
Zn 0.0959 0.4282 0.0000
Zn 0.9218 0.6290 0.0000
Zn 0.7646 0.7442 0.5000
Zn 0.2646 0.4224 0.5000

Copy entry 6 word for word.
Compound: KZn
Source: OQMD
Functional: GGA-PBE
Structure: relaxed

Values from the calculation:
Its crystal system is cubic. The space group is F-43m. For the total energy, the calculation gives -0.677 eV per atom.

abc: 5.4320 5.4320 5.4320
angles: 60.00 60.00 60.00
Positions (direct):
Zn 0.2500 0.2500 0.2500
K 0.0000 0.0000 0.0000